[1]
LaTb3Sm2Te6 after structural relaxation. Source: the Alexandria database, functional GGA-PBE.

Cell lengths 19.346, 4.411, 8.913 Å; angles 90.00, 103.83, 90.00 degrees
Space group C2/m (No. 12)
Inequivalent atoms, fractional coordinates:
La  0.000  0.000  0.000 x2
Tb  0.000  0.000  0.500 x2
Tb  0.165  0.500  0.832 x4
Sm  0.167  0.500  0.334 x4
Te  0.000  0.500  0.260 x4
Te  0.165  0.000  0.587 x4
Te  0.171  0.000  0.082 x4

Properties
uncorrected energy = -5.309 eV per atom

***

[2]
Na2V2Cl7 after structural relaxation. Source: the Alexandria database, functional GGA-PBE.

Cell lengths 10.906, 7.684, 6.361 Å; angles 90.00, 90.66, 90.00 degrees
Space group C2/m (No. 12)
Inequivalent atoms, fractional coordinates:
Na  0.000  0.233  0.000 x4
V  0.237  0.500  0.530 x4
Cl  0.000  0.500  0.500 x2
Cl  0.078  0.000  0.282 x4
Cl  0.207  0.220  0.732 x8

Properties
uncorrected energy = -4.344 eV per atom
excess energy over the best structure of this formula in the dataset = 0.0000 eV per atom

***

[3]
HfRe2Tc2 after structural relaxation. Source: the Alexandria database, functional GGA-PBE.

Cell lengths 7.593, 7.593, 2.838 Å; angles 90.00, 90.00, 90.00 degrees
Space group P4/mbm (No. 127)
Inequivalent atoms, fractional coordinates:
Hf  0.000  0.000  0.000 x2
Re  0.168  0.332  0.500 x4
Tc  0.129  0.629  0.000 x4

Properties
energy relative to the elements = 0.075 eV/atom
uncorrected energy = -11.041 eV per atom
excess energy over the best structure of this formula in the dataset = 0.0077 eV per atom

***

[4]
La2Al2Bi after structural relaxation. Source: the Alexandria database, functional GGA-PBE.

Cell lengths 5.113, 5.113, 12.012 Å; angles 90.00, 90.00, 90.00 degrees
Space group I4/mmm (No. 139)
Inequivalent atoms, fractional coordinates:
La  0.000  0.500  0.250 x4
Al  0.000  0.000  0.101 x4
Bi  0.000  0.000  0.500 x2

Properties
energy relative to the elements = 0.041 eV/atom
uncorrected energy = -4.203 eV per atom
excess energy over the best structure of this formula in the dataset = 0.5366 eV per atom

***

[5]
TaHg2Rh after structural relaxation. Source: the Alexandria database, functional GGA-PBE.

Cell lengths 4.268, 4.268, 7.942 Å; angles 90.00, 90.00, 90.00 degrees
Space group I4/mmm (No. 139)
Inequivalent atoms, fractional coordinates:
Ta  0.000  0.000  0.000 x2
Hg  0.000  0.500  0.250 x4
Rh  0.000  0.000  0.500 x2

Properties
energy relative to the elements = 0.343 eV/atom
uncorrected energy = -4.609 eV per atom
excess energy over the best structure of this formula in the dataset = 0.3360 eV per atom

***

[6]
Al3RuBr after structural relaxation. Source: the Alexandria database, functional GGA-PBE.

Cell lengths 4.872, 4.872, 4.872 Å; angles 90.00, 90.00, 90.00 degrees
Space group Pm-3m (No. 221)
Inequivalent atoms, fractional coordinates:
Al  0.000  0.000  0.500 x3
Ru  0.500  0.500  0.500 x1
Br  0.000  0.000  0.000 x1

Properties
uncorrected energy = -3.024 eV per atom
excess energy over the best structure of this formula in the dataset = 1.5387 eV per atom

***

[7]
HAu after structural relaxation. Source: the Alexandria database, functional GGA-PBE.

Cell lengths 3.1252, 3.1252, 5.9804 Å; angles 90.00, 90.00, 120.00 degrees
Space group P6_3mc (No. 186)
Inequivalent atoms, fractional coordinates:
H  0.3333  0.6667  0.0000 x2
Au  0.3333  0.6667  0.4488 x2

Properties
uncorrected energy = -2.992 eV per atom

***

[8]
CaScNi2 after structural relaxation. Source: the Alexandria database, functional GGA-PBE.

Cell lengths 7.125, 7.125, 5.939 Å; angles 90.00, 90.00, 90.00 degrees
Space group I-42d (No. 122)
Inequivalent atoms, fractional coordinates:
Ca  0.000  0.000  0.000 x4
Sc  0.000  0.000  0.500 x4
Ni  0.225  0.750  0.625 x8

Properties
energy relative to the elements = 0.108 eV/atom
uncorrected energy = -4.866 eV per atom
excess energy over the best structure of this formula in the dataset = 0.3880 eV per atom

***

[9]
MgBe2Fe after structural relaxation. Source: the Alexandria database, functional GGA-PBE.

Cell lengths 2.692, 2.692, 6.385 Å; angles 90.00, 90.00, 90.00 degrees
Space group P4mm (No. 99)
Inequivalent atoms, fractional coordinates:
Mg  0.000  0.000  0.000 x1
Be  0.000  0.000  0.469 x1
Be  0.500  0.500  0.302 x1
Fe  0.500  0.500  0.687 x1

Properties
energy relative to the elements = 0.147 eV/atom
uncorrected energy = -4.230 eV per atom

***

[10]
Y5HfZn6 after structural relaxation. Source: the Alexandria database, functional GGA-PBE.

Cell lengths 4.983, 7.045, 15.023 Å; angles 90.00, 90.00, 90.00 degrees
Space group Immm (No. 71)
Inequivalent atoms, fractional coordinates:
Y  0.000  0.000  0.000 x2
Y  0.000  0.000  0.326 x4
Y  0.000  0.500  0.337 x4
Hf  0.000  0.500  0.000 x2
Zn  0.000  0.220  0.500 x4
Zn  0.000  0.266  0.159 x8

Properties
energy relative to the elements = -0.304 eV/atom
uncorrected energy = -4.464 eV per atom

***

For the records above, the corresponding DOS(E_F) values read 0.547 0.438 1.311 1.245 0.606 1.051 0.189 0.514 0.344 1.057 states/eV/atom.